First-principles (PBE-GGA) data for a relaxed Tm4Hg2O crystal, as listed in Alexandria.

The structure in CIF format:
```
data_Tm4Hg2O
_symmetry_space_group_name_H-M 'P 1'
_symmetry_Int_Tables_number 1
_cell_length_a 8.171
_cell_length_b 8.171
_cell_length_c 8.171
_cell_angle_alpha 146.94
_cell_angle_beta 146.94
_cell_angle_gamma 47.45
loop_
_symmetry_equiv_pos_as_xyz
'x,y,z'
loop_
_atom_site_label
_atom_site_type_symbol
_atom_site_fract_x
_atom_site_fract_y
_atom_site_fract_z
Tm1 Tm 0.000 0.500 0.500
Tm2 Tm 0.177 0.177 0.000
Tm3 Tm 0.500 0.000 0.500
Tm4 Tm 0.823 0.823 0.000
Hg1 Hg 0.369 0.369 0.000
Hg2 Hg 0.631 0.631 0.000
O1 O 0.000 0.000 0.000
```

Properties
total magnetic moment: 0.000 μB/atom
electronic total energy: -4.452 eV/atom

---

First-principles (PBE-GGA) data for a relaxed TmHgO3 crystal, as listed in Alexandria.

The structure in CIF format:
```
data_TmHgO3
_symmetry_space_group_name_H-M 'P 1'
_symmetry_Int_Tables_number 1
_cell_length_a 7.402
_cell_length_b 7.402
_cell_length_c 5.720
_cell_angle_alpha 90.00
_cell_angle_beta 90.00
_cell_angle_gamma 152.28
loop_
_symmetry_equiv_pos_as_xyz
'x,y,z'
loop_
_atom_site_label
_atom_site_type_symbol
_atom_site_fract_x
_atom_site_fract_y
_atom_site_fract_z
Tm1 Tm 0.196 0.804 0.750
Tm2 Tm 0.804 0.196 0.250
Hg1 Hg 0.443 0.557 0.750
Hg2 Hg 0.557 0.443 0.250
O1 O 0.036 0.964 0.750
O2 O 0.322 0.678 0.002
O3 O 0.322 0.678 0.498
O4 O 0.678 0.322 0.502
O5 O 0.678 0.322 0.998
O6 O 0.964 0.036 0.250
```

Properties
total magnetic moment: 0.199 μB/atom
electronic total energy: -5.644 eV/atom

---

First-principles (PBE-GGA) data for a relaxed Tm2HgO crystal, as listed in Alexandria.

The structure in CIF format:
```
data_Tm2HgO
_symmetry_space_group_name_H-M 'P 1'
_symmetry_Int_Tables_number 1
_cell_length_a 7.606
_cell_length_b 7.606
_cell_length_c 7.606
_cell_angle_alpha 26.67
_cell_angle_beta 26.67
_cell_angle_gamma 26.67
loop_
_symmetry_equiv_pos_as_xyz
'x,y,z'
loop_
_atom_site_label
_atom_site_type_symbol
_atom_site_fract_x
_atom_site_fract_y
_atom_site_fract_z
Tm1 Tm 0.226 0.226 0.226
Tm2 Tm 0.774 0.774 0.774
Hg1 Hg 0.000 0.000 0.000
O1 O 0.500 0.500 0.500
```

Properties
total magnetic moment: 0.000 μB/atom
electronic total energy: -5.109 eV/atom

---

First-principles (PBE-GGA) data for a relaxed U2Hg2O7 crystal, as listed in Alexandria.

The structure in CIF format:
```
data_U2Hg2O7
_symmetry_space_group_name_H-M 'P 1'
_symmetry_Int_Tables_number 1
_cell_length_a 7.984
_cell_length_b 7.984
_cell_length_c 7.984
_cell_angle_alpha 60.00
_cell_angle_beta 60.00
_cell_angle_gamma 60.00
loop_
_symmetry_equiv_pos_as_xyz
'x,y,z'
loop_
_atom_site_label
_atom_site_type_symbol
_atom_site_fract_x
_atom_site_fract_y
_atom_site_fract_z
U1 U 0.000 0.000 0.000
U2 U 0.000 0.000 0.500
U3 U 0.000 0.500 0.000
U4 U 0.500 0.000 0.000
Hg1 Hg 0.000 0.500 0.500
Hg2 Hg 0.500 0.000 0.500
Hg3 Hg 0.500 0.500 0.000
Hg4 Hg 0.500 0.500 0.500
O1 O 0.063 0.063 0.687
O2 O 0.063 0.687 0.063
O3 O 0.063 0.687 0.687
O4 O 0.313 0.313 0.937
O5 O 0.313 0.937 0.313
O6 O 0.313 0.937 0.937
O7 O 0.375 0.375 0.375
O8 O 0.625 0.625 0.625
O9 O 0.687 0.063 0.063
O10 O 0.687 0.063 0.687
O11 O 0.687 0.687 0.063
O12 O 0.937 0.313 0.313
O13 O 0.937 0.313 0.937
O14 O 0.937 0.937 0.313
```

Properties
total magnetic moment: 0.093 μB/atom
electronic total energy: -7.421 eV/atom

---

First-principles (PBE-GGA) data for a relaxed UHgO4 crystal, as listed in Alexandria.

The structure in CIF format:
```
data_UHgO4
_symmetry_space_group_name_H-M 'P 1'
_symmetry_Int_Tables_number 1
_cell_length_a 5.900
_cell_length_b 5.222
_cell_length_c 6.160
_cell_angle_alpha 90.00
_cell_angle_beta 97.85
_cell_angle_gamma 90.00
loop_
_symmetry_equiv_pos_as_xyz
'x,y,z'
loop_
_atom_site_label
_atom_site_type_symbol
_atom_site_fract_x
_atom_site_fract_y
_atom_site_fract_z
U1 U 0.000 0.000 0.000
U2 U 0.000 0.500 0.500
Hg1 Hg 0.500 0.000 0.500
Hg2 Hg 0.500 0.500 0.000
O1 O 0.124 0.249 0.739
O2 O 0.124 0.251 0.239
O3 O 0.299 0.691 0.554
O4 O 0.299 0.809 0.054
O5 O 0.701 0.191 0.946
O6 O 0.701 0.309 0.446
O7 O 0.876 0.749 0.761
O8 O 0.876 0.751 0.261
```

Properties
total magnetic moment: 0.000 μB/atom
electronic total energy: -7.371 eV/atom